Entry 1:
TcPtSeF2 | PBE | relaxed

a = 3.9325 Å, b = 5.2853 Å, c = 3.9325 Å
α = 90.00°, β = 90.00°, γ = 90.00°
With the nearest neighbours (Å) after each atom.
Positions (direct):
Se: 0.0000 0.0000 0.0000  4 F 1.97
Tc: 0.0000 0.5000 0.0000  2 Se 2.64, 4 Pt 2.78
Pt: 0.5000 0.5000 0.5000  4 Tc 2.78
F: 0.0000 0.0000 0.5000  2 Se 1.97
F: 0.5000 0.0000 0.0000  2 Se 1.97

Properties
**Theoretical density**: 8.33 g cm⁻³
**Space group**: P4/mmm (123)
**Total energy**: -23.17 eV/cell

***

Entry 2:
CuOsC3 | PBE | relaxed

a = 3.9787 Å, b = 3.9787 Å, c = 3.9787 Å
α = 90.00°, β = 90.00°, γ = 90.00°
With the nearest neighbours (Å) after each atom.
Positions (direct):
C: 0.0000 0.5000 0.0000  2 Os 1.99
C: 0.0000 0.0000 0.5000  2 Os 1.99
C: 0.5000 0.0000 0.0000  2 Os 1.99
Os: 0.0000 0.0000 0.0000  6 C 1.99
Cu: 0.5000 0.5000 0.5000  12 C 2.81

Properties
**Theoretical density**: 7.64 g cm⁻³
**Space group**: Pm-3m (221)
**Total energy**: -32.74 eV/cell

***

Entry 3:
KOsBr2 | PBE | relaxed

a = 5.1587 Å, b = 5.1587 Å, c = 5.1587 Å
α = 60.00°, β = 60.00°, γ = 60.00°
With the nearest neighbours (Å) after each atom.
Positions (direct):
K: 0.0000 0.0000 0.0000  8 Br 3.16
Os: 0.5000 0.5000 0.5000  8 Br 3.16
Br: 0.2500 0.2500 0.2500  4 K 3.16, 4 Os 3.16
Br: 0.7500 0.7500 0.7500  4 K 3.16, 4 Os 3.16

Properties
**Theoretical density**: 6.66 g cm⁻³
**Space group**: Fm-3m (225)
**Total energy**: -13.35 eV/cell

***

Entry 4:
Sm6InNi2 | PBE | relaxed

a = 8.6158 Å, b = 8.6158 Å, c = 8.6158 Å
α = 105.77°, β = 109.02°, γ = 113.73°
With the nearest neighbours (Å) after each atom.
Positions (direct):
Sm: 0.5232 0.7067 0.8165  3 Ni 2.95-3.26
Sm: 0.4768 0.2933 0.1835  3 Ni 2.95-3.26
Sm: 0.1098 0.2933 0.8165  3 Ni 2.95-3.26
Sm: 0.8902 0.7067 0.1835  3 Ni 2.95-3.26
Sm: 0.7983 0.7685 0.5668  1 Ni 2.86, 1 In 3.14
Sm: 0.2017 0.2315 0.4332  1 Ni 2.86, 1 In 3.14
Sm: 0.2017 0.7685 0.9702  1 Ni 2.86, 1 In 3.14
Sm: 0.7983 0.2315 0.0298  1 Ni 2.86, 1 In 3.14
Sm: 0.6907 0.3679 0.6772  3 Ni 2.77-2.95
Sm: 0.3093 0.6321 0.3228  3 Ni 2.77-2.95
Sm: 0.3093 0.9864 0.6772  3 Ni 2.77-2.95
Sm: 0.6907 0.0136 0.3228  3 Ni 2.77-2.95
In: 0.0000 0.5000 0.5000  12 Sm 3.44-3.72
In: 0.0000 0.0000 0.0000  8 Sm 3.14-3.32
Ni: 0.5000 0.3799 0.8799  1 Ni 2.50, 2 Sm 2.77
Ni: 0.5000 0.6201 0.1201  1 Ni 2.50, 2 Sm 2.77
Ni: 0.6440 0.0000 0.6440  6 Sm 2.86-2.95, 1 Ni 2.88
Ni: 0.3560 0.0000 0.3560  6 Sm 2.86-2.95, 1 Ni 2.88

Properties
**Theoretical density**: 7.69 g cm⁻³
**Space group**: Immm (71)
**Total energy**: -90.40 eV/cell